(1)
SrMnPt | Alexandria via LeMat-Bulk | GGA-PBE | relaxed; E = -0.42613 Ry/atom; Fermi-level density of states = 0.817 states/eV/atom; size of the total moment = 4.38 Bohr magnetons per cell
1.0
-1.785 1.785 5.474
1.785 -1.785 5.474
1.785 1.785 -5.474
Sr Mn Pt
1 1 1
direct
0.000 0.000 0.000
0.720 0.720 0.000
0.297 0.297 0.000

---

(2)
LiZr2Zn8 | Alexandria via LeMat-Bulk | GGA-PBE | relaxed; E = -0.20733 Ry/atom; Fermi-level density of states = 0.505 states/eV/atom; size of the total moment = 0.00 Bohr magnetons per cell
1.0
7.938 -2.031 0.000
7.938 2.031 0.000
-2.243 0.000 5.540
Li Zr Zn
1 2 8
direct
0.000 0.000 0.000
0.281 0.281 0.281
0.719 0.719 0.719
0.118 0.118 0.404
0.118 0.118 0.830
0.357 0.357 0.857
0.500 0.500 0.291
0.500 0.500 0.709
0.643 0.643 0.143
0.882 0.882 0.170
0.882 0.882 0.596

---

(3)
Sm9Dy2In | Alexandria via LeMat-Bulk | GGA-PBE | relaxed; E = -0.33828 Ry/atom; Fermi-level density of states = 1.351 states/eV/atom; size of the total moment = 0.00 Bohr magnetons per cell
1.0
5.018 0.000 0.000
0.000 5.018 0.000
0.000 0.000 15.342
Sm Dy In
9 2 1
direct
0.000 0.000 0.000
0.000 0.000 0.330
0.000 0.000 0.670
0.000 0.500 0.161
0.000 0.500 0.500
0.000 0.500 0.839
0.500 0.000 0.161
0.500 0.000 0.500
0.500 0.000 0.839
0.500 0.500 0.331
0.500 0.500 0.669
0.500 0.500 0.000

---

(4)
AlFeRu2 | Alexandria via LeMat-Bulk | GGA-PBE | relaxed; E = -0.57510 Ry/atom; Fermi-level density of states = 0.860 states/eV/atom; size of the total moment = 2.27 Bohr magnetons per cell
1.0
2.745 0.000 0.000
0.000 3.815 0.000
-0.036 0.000 5.141
Al Fe Ru
1 1 2
direct
0.000 0.000 0.000
0.499 0.500 0.248
0.499 0.500 0.750
0.996 0.000 0.494

---

(5)
NaBeCd2Au | Alexandria via LeMat-Bulk | GGA-PBE | relaxed; E = -0.14903 Ry/atom; Fermi-level density of states = 0.305 states/eV/atom; size of the total moment = 0.00 Bohr magnetons per cell
1.0
4.780 0.000 0.000
0.000 4.780 0.000
0.000 0.000 4.581
Na Be Cd Au
1 1 2 1
direct
0.000 0.000 0.000
0.500 0.500 0.500
0.000 0.500 0.500
0.500 0.000 0.500
0.500 0.500 0.000

---

(6)
SnBiH | Alexandria via LeMat-Bulk | GGA-PBE | relaxed; excess energy over the best structure of this formula in the dataset = 169.8 meV per atom; E = -0.25687 Ry/atom; Fermi-level density of states = 0.553 states/eV/atom; size of the total moment = 0.00 Bohr magnetons per cell
1.0
-2.235 2.235 3.635
2.235 -2.235 3.635
2.235 2.235 -3.635
Sn Bi H
1 1 1
direct
0.000 0.000 0.000
0.448 0.448 0.000
0.734 0.734 0.000

---

(7)
TiNb6Mo2 | Alexandria via LeMat-Bulk | GGA-PBE | relaxed; excess energy over the best structure of this formula in the dataset = 277.7 meV per atom; E = -0.71960 Ry/atom; Fermi-level density of states = 1.307 states/eV/atom; size of the total moment = 0.00 Bohr magnetons per cell
1.0
2.342 1.352 8.799
-2.342 1.352 8.799
0.000 -2.704 8.799
Ti Nb Mo
1 6 2
direct
0.000 0.000 0.000
0.195 0.195 0.195
0.299 0.299 0.299
0.406 0.406 0.406
0.594 0.594 0.594
0.701 0.701 0.701
0.805 0.805 0.805
0.099 0.099 0.099
0.901 0.901 0.901

---

(8)
TiGePdRh | Alexandria via LeMat-Bulk | GGA-PBE | relaxed; E = -0.50865 Ry/atom; Fermi-level density of states = 0.978 states/eV/atom; size of the total moment = 0.00 Bohr magnetons per cell
1.0
-1.972 1.972 3.805
1.972 -1.972 3.805
1.972 1.972 -3.805
Ti Ge Pd Rh
1 1 1 1
direct
0.000 0.000 0.000
0.500 0.500 0.000
0.250 0.750 0.500
0.750 0.250 0.500

---

(9)
Y2FeCl | Alexandria via LeMat-Bulk | GGA-PBE | relaxed; excess energy over the best structure of this formula in the dataset = 1087.1 meV per atom; E = -0.39395 Ry/atom; Fermi-level density of states = 1.463 states/eV/atom; size of the total moment = 0.67 Bohr magnetons per cell
1.0
0.000 3.582 3.582
3.582 0.000 3.582
3.582 3.582 0.000
Y Fe Cl
2 1 1
direct
0.000 0.000 0.000
0.250 0.250 0.250
0.500 0.500 0.500
0.750 0.750 0.750

---

(10)
UPaPt6 | Alexandria via LeMat-Bulk | GGA-PBE | relaxed; E = -0.58597 Ry/atom; Fermi-level density of states = 1.161 states/eV/atom; size of the total moment = 1.26 Bohr magnetons per cell
1.0
4.902 0.000 0.000
0.000 5.719 0.000
0.000 0.000 5.192
U Pa Pt
1 1 6
direct
0.000 0.000 0.000
0.500 0.500 0.322
0.000 0.250 0.494
0.000 0.500 0.982
0.000 0.750 0.494
0.500 0.000 0.336
0.500 0.250 0.828
0.500 0.750 0.828

---

(11)
Tl2NiTe2Pd | Alexandria via LeMat-Bulk | GGA-PBE | relaxed; E = -0.28431 Ry/atom; Fermi-level density of states = 0.718 states/eV/atom; size of the total moment = 0.00 Bohr magnetons per cell
1.0
-3.162 8.016 3.150
3.162 -8.016 3.150
3.162 8.016 -3.150
Tl Ni Te Pd
4 2 4 2
direct
0.165 0.225 0.389
0.335 0.725 0.060
0.665 0.275 0.940
0.835 0.775 0.611
0.250 0.750 0.500
0.750 0.250 0.500
0.090 0.722 0.812
0.410 0.222 0.632
0.590 0.778 0.368
0.910 0.278 0.188
0.250 0.250 0.000
0.750 0.750 0.000

---

(12)
K3NaAu | Alexandria via LeMat-Bulk | GGA-PBE | relaxed; excess energy over the best structure of this formula in the dataset = 0.0 meV per atom; E = -0.12491 Ry/atom; Fermi-level density of states = 0.581 states/eV/atom; size of the total moment = 0.00 Bohr magnetons per cell
1.0
8.728 0.000 0.000
0.000 7.773 0.000
-1.192 0.000 14.753
K Na Au
12 4 4
direct
0.114 0.224 0.049
0.114 0.776 0.549
0.274 0.073 0.312
0.274 0.927 0.812
0.382 0.306 0.582
0.382 0.694 0.082
0.618 0.306 0.918
0.618 0.694 0.418
0.726 0.073 0.188
0.726 0.927 0.688
0.886 0.224 0.451
0.886 0.776 0.951
0.181 0.428 0.805
0.181 0.572 0.305
0.819 0.428 0.695
0.819 0.572 0.195
0.057 0.161 0.662
0.057 0.839 0.162
0.943 0.161 0.838
0.943 0.839 0.338

---

(13)
ZnAs2C | Alexandria via LeMat-Bulk | GGA-PBE | relaxed; excess energy over the best structure of this formula in the dataset = 0.0 meV per atom; E = -0.32918 Ry/atom; Fermi-level density of states = 0.000 states/eV/atom; size of the total moment = 0.00 Bohr magnetons per cell
1.0
-2.671 2.671 4.814
2.671 -2.671 4.814
2.671 2.671 -4.814
Zn As C
2 4 2
direct
0.000 0.000 0.000
0.750 0.250 0.500
0.185 0.625 0.060
0.375 0.435 0.560
0.565 0.125 0.940
0.875 0.815 0.440
0.250 0.750 0.500
0.500 0.500 0.000